A plane-wave DFT calculation with PBE-GGA was carried out for a geometry-optimized TmNpSe3 structure.

## Properties
Energy above the most stable polymorph in this dataset: 0.000 eV/atom
Uncorrected formation energy: -1.4980 eV/atom
Final energy: -7.07 eV per atom
DOS(E_F): 1.4542 states/eV/atom
Total magnetization: 4.0 μB per formula unit

Unit cell a=4.074 b=7.648 c=15.669 alpha=90.00 beta=90.00 gamma=90.00
Last column: magnetic moment on the atom in μB.
Fractional coordinates of all 20 atoms:
1 Tm 0.250 0.266 0.958  0.02
2 Tm 0.250 0.766 0.542  0.02
3 Tm 0.750 0.234 0.458  0.02
4 Tm 0.750 0.734 0.042  0.02
5 Np 0.750 0.862 0.794  3.90
6 Np 0.250 0.138 0.206  3.90
7 Np 0.750 0.362 0.706  3.90
8 Np 0.250 0.638 0.294  3.90
9 Se 0.250 0.377 0.565  -0.05
10 Se 0.750 0.852 0.219  -0.08
11 Se 0.750 0.491 0.894  -0.04
12 Se 0.750 0.991 0.606  -0.04
13 Se 0.750 0.623 0.435  -0.05
14 Se 0.250 0.009 0.394  -0.04
15 Se 0.250 0.877 0.935  -0.05
16 Se 0.750 0.352 0.281  -0.08
17 Se 0.250 0.648 0.719  -0.08
18 Se 0.250 0.148 0.781  -0.08
19 Se 0.750 0.123 0.065  -0.05
20 Se 0.250 0.509 0.106  -0.04

=====

A plane-wave DFT calculation with PBE-GGA was carried out for a geometry-optimized Tm2Np2Se7 structure.

## Properties
Uncorrected formation energy: -1.2638 eV/atom
Final energy: -6.65 eV per atom
DOS(E_F): 2.1232 states/eV/atom
Total magnetization: 6.0 μB per formula unit

Unit cell a=4.798 b=4.798 c=13.486 alpha=90.00 beta=90.00 gamma=90.00
Last column: magnetic moment on the atom in μB.
Fractional coordinates of all 11 atoms:
1 Tm 0.500 0.000 0.862  -0.01
2 Tm 0.000 0.500 0.138  -0.01
3 Np 0.500 0.000 0.375  3.40
4 Np 0.000 0.500 0.625  3.40
5 Se 0.500 0.500 0.000  -0.02
6 Se 0.000 0.000 0.234  -0.07
7 Se 0.500 0.500 0.257  -0.11
8 Se 0.000 0.000 0.500  -0.14
9 Se 0.500 0.500 0.500  -0.18
10 Se 0.000 0.000 0.766  -0.07
11 Se 0.500 0.500 0.743  -0.11